Here is Tb2Pm4Sm5 after structural relaxation from Alexandria. Energies are from PBE.

Cell lengths 3.5308, 9.3398, 12.6816 Å; angles 111.61, 98.00, 90.00 degrees
Last column: nearest neighbours and their distance in Å.
Atoms (fractional coordinates):
1 Tb 0.2698 0.2698 0.5396  1 Pm 3.12, 2 Sm 3.39
2 Tb 0.7302 0.7302 0.4604  1 Pm 3.12, 2 Sm 3.39
3 Pm 0.0000 0.2995 0.0000  4 Sm 3.31-3.59, 6 Pm 3.41-3.53
4 Pm 0.5962 0.5962 0.1924  1 Tb 3.12, 4 Pm 3.41
5 Pm 0.0000 0.7005 0.0000  4 Sm 3.31-3.59, 6 Pm 3.41-3.53
6 Pm 0.4038 0.4038 0.8076  1 Tb 3.12, 4 Pm 3.41
7 Sm 0.8513 0.0529 0.7026  1 Tb 3.39, 3 Pm 3.52-3.59, 3 Sm 3.53-3.77
8 Sm 0.8513 0.6497 0.7026  1 Tb 3.39, 3 Pm 3.52-3.59, 3 Sm 3.53-3.77
9 Sm 0.1487 0.3503 0.2974  1 Tb 3.39, 3 Pm 3.52-3.59, 3 Sm 3.53-3.77
10 Sm 0.1487 0.9471 0.2974  1 Tb 3.39, 3 Pm 3.52-3.59, 3 Sm 3.53-3.77
11 Sm 0.5000 0.0000 0.0000  4 Pm 3.31, 2 Sm 3.53

Fermi-level density of states, states/eV/cell: 16.52
E above lowest polymorph, kJ/mol of atoms: 8.9
Space-group type: Immm, No. 71
Total magnetization, μB per formula unit: 0.00